[1]
Entry from the Alexandria database: crystalline RbCuSiP2 at its relaxed geometry (PBE-GGA).

Results
- Fermi-level density of states: 2.8 states/eV per cell
- E: -0.1658 hartree per atom
- Magnetic moment: 0.0 μB/cell
- E_form (uncorrected): -251 meV per atom

Cell: 12.561 3.823 9.620 Å, 90.00 98.23 90.00°
Space group C2/m (No. 12)
Inequivalent atoms, fractional coordinates:
Rb: 0.150 0.000 0.156
Cu: 0.191 0.000 0.558
Si: 0.058 0.500 0.653
P: 0.115 0.000 0.784
P: 0.120 0.500 0.440

=====

[2]
Entry from the Alexandria database: crystalline Rb2ZnCuP2 at its relaxed geometry (PBE-GGA).

Results
- Fermi-level density of states: 12.1 states/eV per cell
- E: -0.1202 hartree per atom
- Calculated formation energy: -0.249 eV per atom
- Magnetic moment: 0.0 μB/cell

Cell: 5.737 21.507 5.770 Å, 90.00 90.00 90.00°
Space group Ibam (No. 72)
Inequivalent atoms, fractional coordinates:
Rb: 0.247 0.142 0.000
Zn: 0.000 0.000 0.250
Cu: 0.000 0.500 0.250
P: 0.238 0.437 0.000

=====

[3]
Entry from the Alexandria database: crystalline CuReP at its relaxed geometry (PBE-GGA).

Results
- Fermi-level density of states: 10.7 states/eV per cell
- E: -0.2526 hartree per atom
- Calculated formation energy: 0.443 eV per atom
- Magnetic moment: 0.0 μB/cell

Cell: 2.995 4.736 12.171 Å, 90.00 90.00 90.00°
Space group Fmm2 (No. 42)
Inequivalent atoms, fractional coordinates:
Cu: 0.000 0.000 0.000
Re: 0.000 0.000 0.316
P: 0.000 0.000 0.669

=====

[4]
Entry from the Alexandria database: crystalline CuReP at its relaxed geometry (PBE-GGA).

Results
- Fermi-level density of states: 17.4 states/eV per cell
- E: -0.2545 hartree per atom
- Calculated formation energy: 0.392 eV per atom
- Magnetic moment: 1.1 μB/cell

Cell: 5.688 5.688 5.688 Å, 90.00 90.00 90.00°
Space group F-43m (No. 216)
Inequivalent atoms, fractional coordinates:
Cu: 0.000 0.000 0.000
Re: 0.250 0.250 0.750
P: 0.000 0.000 0.500

=====

[5]
Entry from the Alexandria database: crystalline CuReP at its relaxed geometry (PBE-GGA).

Results
- Fermi-level density of states: 3.2 states/eV per cell
- E: -0.2625 hartree per atom
- Calculated formation energy: 0.176 eV per atom
- Magnetic moment: 0.0 μB/cell

Cell: 2.8757 2.8757 5.8495 Å, 90.00 90.00 120.00°
Space group P3m1 (No. 156)
Inequivalent atoms, fractional coordinates:
Cu: 0.0000 0.0000 0.0000
Re: 0.3333 0.6667 0.6273
P: 0.6667 0.3333 0.3325

=====

[6]
Entry from the Alexandria database: crystalline CuReP at its relaxed geometry (PBE-GGA).

Results
- Fermi-level density of states: 1.2 states/eV per cell
- E: -0.2643 hartree per atom
- Calculated formation energy: 0.127 eV per atom
- Magnetic moment: 0.0 μB/cell

Cell: 3.9790 3.9790 3.0600 Å, 90.00 90.00 120.00°
Space group P-6m2 (No. 187)
Inequivalent atoms, fractional coordinates:
Cu: 0.0000 0.0000 0.0000
Re: 0.3333 0.6667 0.5000
P: 0.6667 0.3333 0.5000

=====

[7]
Entry from the Alexandria database: crystalline CuReP at its relaxed geometry (PBE-GGA).

Results
- Fermi-level density of states: 8.9 states/eV per cell
- E: -0.2648 hartree per atom
- Calculated formation energy: 0.113 eV per atom
- Magnetic moment: 0.0 μB/cell

Cell: 2.999 2.999 8.817 Å, 90.00 90.00 90.00°
Space group I4mm (No. 107)
Inequivalent atoms, fractional coordinates:
Cu: 0.000 0.000 0.000
Re: 0.000 0.000 0.305
P: 0.000 0.000 0.665

=====

[8]
Entry from the Alexandria database: crystalline CuReP at its relaxed geometry (PBE-GGA).

Results
- Fermi-level density of states: 2.1 states/eV per cell
- E: -0.2596 hartree per atom
- Calculated formation energy: 0.254 eV per atom
- Magnetic moment: 0.0 μB/cell

Cell: 3.125 3.125 8.322 Å, 90.00 90.00 90.00°
Space group P4/nmm (No. 129, origin choice 2)
Inequivalent atoms, fractional coordinates:
Cu: 0.250 0.750 0.000
Re: 0.250 0.250 0.383
P: 0.250 0.250 0.754